## w
VASP calculation (PBE-GGA) on an optimized crystal structure of RbZnCl2.

Cell: 8.485 8.485 8.485 Å, 136.05 136.05 63.91°
Fractional coordinates of all 8 atoms:
Rb (0.000, 0.000, 0.000)
Rb (0.750, 0.250, 0.500)
Zn (0.250, 0.750, 0.500)
Zn (0.500, 0.500, 0.000)
Cl (0.219, 0.625, 0.094)
Cl (0.375, 0.469, 0.594)
Cl (0.531, 0.125, 0.906)
Cl (0.875, 0.781, 0.406)

Results
Calculated density, Mg/m³: 2.54



## x
VASP calculation (PBE-GGA) on an optimized crystal structure of RbZnCl2.

Cell: 9.033 9.033 9.033 Å, 28.34 28.34 28.34°
Fractional coordinates of all 4 atoms:
Rb (0.000, 0.000, 0.000)
Zn (0.500, 0.500, 0.500)
Cl (0.409, 0.409, 0.409)
Cl (0.591, 0.591, 0.591)

Results
Calculated density, Mg/m³: 2.51



Stability, highest: w



## w
VASP calculation (PBE-GGA) on an optimized crystal structure of RbZrCl2.

Cell: 9.808 9.808 9.808 Å, 22.15 22.15 22.15°
Fractional coordinates of all 4 atoms:
Rb (0.000, 0.000, 0.000)
Zr (0.500, 0.500, 0.500)
Cl (0.412, 0.412, 0.412)
Cl (0.588, 0.588, 0.588)

Results
Calculated density, Mg/m³: 3.50



## x
VASP calculation (PBE-GGA) on an optimized crystal structure of RbZrCl2.

Cell: 8.857 8.857 8.857 Å, 139.35 139.35 58.84°
Fractional coordinates of all 8 atoms:
Rb (0.000, 0.000, 0.000)
Rb (0.750, 0.250, 0.500)
Zr (0.250, 0.750, 0.500)
Zr (0.500, 0.500, 0.000)
Cl (0.238, 0.625, 0.113)
Cl (0.375, 0.488, 0.613)
Cl (0.512, 0.125, 0.887)
Cl (0.875, 0.762, 0.387)

Results
Calculated density, Mg/m³: 2.82



## y
VASP calculation (PBE-GGA) on an optimized crystal structure of RbZrCl2.

Cell: 5.282 5.282 5.282 Å, 60.00 60.00 60.00°
Fractional coordinates of all 4 atoms:
Rb (0.000, 0.000, 0.000)
Zr (0.500, 0.500, 0.500)
Cl (0.250, 0.250, 0.250)
Cl (0.750, 0.750, 0.750)

Results
Calculated density, Mg/m³: 3.94



Stability, highest: w



## w
VASP calculation (PBE-GGA) on an optimized crystal structure of RbZr2Cl2.

Cell: 8.153 8.153 8.153 Å, 150.31 150.31 42.49°
Fractional coordinates of all 5 atoms:
Rb (0.000, 0.000, 0.000)
Zr (0.250, 0.750, 0.500)
Zr (0.750, 0.250, 0.500)
Cl (0.373, 0.373, 0.000)
Cl (0.627, 0.627, 0.000)

Results
Calculated density, Mg/m³: 4.24



## x
VASP calculation (PBE-GGA) on an optimized crystal structure of RbZr2Cl2.

Cell: 10.008 10.008 3.308 Å, 90.00 90.00 90.00°
Fractional coordinates of all 10 atoms:
Rb (0.000, 0.000, 0.000)
Rb (0.500, 0.500, 0.000)
Zr (0.103, 0.397, 0.500)
Zr (0.397, 0.897, 0.500)
Zr (0.603, 0.103, 0.500)
Zr (0.897, 0.603, 0.500)
Cl (0.113, 0.613, 0.000)
Cl (0.387, 0.113, 0.000)
Cl (0.613, 0.887, 0.000)
Cl (0.887, 0.387, 0.000)

Results
Calculated density, Mg/m³: 3.40



Stability, highest: w



## w
VASP calculation (PBE-GGA) on an optimized crystal structure of Rb2ZrCl.

Cell: 6.468 6.468 6.468 Å, 60.00 60.00 60.00°
Fractional coordinates of all 4 atoms:
Rb (0.250, 0.250, 0.250)
Rb (0.750, 0.750, 0.750)
Zr (0.000, 0.000, 0.000)
Cl (0.500, 0.500, 0.500)

Results
Calculated density, Mg/m³: 2.58



## x
VASP calculation (PBE-GGA) on an optimized crystal structure of Rb2ZrCl.

Cell: 9.436 9.436 9.436 Å, 94.13 94.13 148.86°
Fractional coordinates of all 8 atoms:
Rb (0.375, 0.220, 0.345)
Rb (0.780, 0.125, 0.155)
Rb (0.875, 0.030, 0.655)
Rb (0.970, 0.625, 0.845)
Zr (0.250, 0.750, 0.500)
Zr (0.500, 0.500, 0.000)
Cl (0.000, 0.000, 0.000)
Cl (0.750, 0.250, 0.500)

Results
Calculated density, Mg/m³: 2.36



Stability, highest: x



## w
VASP calculation (PBE-GGA) on an optimized crystal structure of RbZr3Cl.

Cell: 5.060 5.060 5.060 Å, 90.00 90.00 90.00°
Fractional coordinates of all 5 atoms:
Rb (0.000, 0.000, 0.000)
Zr (0.000, 0.500, 0.500)
Zr (0.500, 0.000, 0.500)
Zr (0.500, 0.500, 0.000)
Cl (0.500, 0.500, 0.500)

Results
Calculated density, Mg/m³: 5.06



## x
VASP calculation (PBE-GGA) on an optimized crystal structure of RbZr3Cl.

Cell: 5.195 5.195 5.195 Å, 90.00 90.00 90.00°
Fractional coordinates of all 5 atoms:
Rb (0.000, 0.000, 0.000)
Zr (0.000, 0.000, 0.500)
Zr (0.000, 0.500, 0.000)
Zr (0.500, 0.000, 0.000)
Cl (0.500, 0.500, 0.500)

Results
Calculated density, Mg/m³: 4.67



Stability, highest: w



## w
VASP calculation (PBE-GGA) on an optimized crystal structure of ReCl4.

Cell: 5.250 5.250 5.250 Å, 109.47 109.47 109.47°
Fractional coordinates of all 5 atoms:
Re (0.000, 0.000, 0.000)
Cl (0.000, 0.000, 0.500)
Cl (0.000, 0.500, 0.000)
Cl (0.500, 0.000, 0.000)
Cl (0.500, 0.500, 0.500)

Results
Calculated density, Mg/m³: 4.89



## x
VASP calculation (PBE-GGA) on an optimized crystal structure of ReCl4.

Cell: 5.898 5.898 5.898 Å, 114.58 114.58 99.67°
Fractional coordinates of all 5 atoms:
Re (0.000, 0.000, 0.000)
Cl (0.250, 0.750, 0.500)
Cl (0.286, 0.286, 0.000)
Cl (0.714, 0.714, 0.000)
Cl (0.750, 0.250, 0.500)

Results
Calculated density, Mg/m³: 3.52



Stability, highest: w